No. 1
First-principles (PBE) data for a relaxed SrOsCl2 crystal, as listed in Alexandria via LeMat-Bulk.

Properties
The space group is Immm (71). The calculation puts the offset from the most stable computed form at 0 kJ/mol of formula units. The value obtained for the calculated density is 5.793 Mg/m³. The energy relative to the elements, uncorrected comes out at -0.40 eV per atom. As for the size of the total moment: 0.0 Bohr magnetons per cell.

a = 6.1082 Å, b = 6.1082 Å, c = 6.1082 Å
α = 144.32°, β = 130.48°, γ = 62.51°
Closest atoms and distances in Å follow each position.
Fractional positions:
Cl 0.8983 0.8983 0.0000  2 Os 2.43
Cl 0.6017 0.6017 0.0000  2 Os 2.43
Os 0.7500 0.2500 0.5000  4 Cl 2.43
Sr 0.2500 0.7500 0.5000  4 Cl 2.99, 4 Os 3.17


No. 2
First-principles (PBE) data for a relaxed SrYOsCl2 crystal, as listed in Alexandria via LeMat-Bulk.

Properties
The space group is P4/mmm (123). The value obtained for the calculated density is 3.538 Mg/m³. The energy relative to the elements, uncorrected comes out at 0.17 eV per atom. As for the size of the total moment: 3.0 Bohr magnetons per cell.

a = 5.0565 Å, b = 8.0332 Å, c = 5.0565 Å
α = 90.00°, β = 90.00°, γ = 90.00°
Closest atoms and distances in Å follow each position.
Fractional positions:
Cl 0.0000 0.0000 0.5000  2 Y 2.53
Cl 0.5000 0.0000 0.0000  2 Y 2.53
Y 0.0000 0.0000 0.0000  4 Cl 2.53
Sr 0.0000 0.5000 0.0000  4 Os 3.58
Os 0.5000 0.5000 0.5000  4 Sr 3.58


No. 3
First-principles (PBE) data for a relaxed TaOsCl2 crystal, as listed in Alexandria via LeMat-Bulk.

Properties
The space group is P4mm (99). The calculation puts the offset from the most stable computed form at 94 kJ/mol of formula units. The value obtained for the calculated density is 9.037 Mg/m³. The energy relative to the elements, uncorrected comes out at -0.12 eV per atom. As for the size of the total moment: 0.0 Bohr magnetons per cell.

a = 3.0669 Å, b = 3.0669 Å, c = 8.6364 Å
α = 90.00°, β = 90.00°, γ = 90.00°
Closest atoms and distances in Å follow each position.
Fractional positions:
Ta 0.5000 0.5000 0.7133  4 Os 2.65, 4 Cl 2.83
Cl 0.0000 0.0000 0.9245  4 Ta 2.83, 4 Cl 3.07
Cl 0.5000 0.5000 0.3250  4 Os 2.84, 4 Cl 3.07
Os 0.0000 0.0000 0.5372  4 Ta 2.65, 4 Cl 2.84


What is the formula in the first record?
SrOsCl2